A plane-wave DFT calculation with GGA-PBE was carried out for TlGa2Te after structural relaxation.

Lattice parameters (Å, degrees): 3.869 3.869 7.060 90.00 90.00 90.00
Atoms (fractional coordinates):
Ga1 0.000 0.000 0.222
Ga2 0.000 0.000 0.778
Te1 0.500 0.500 0.000
Tl1 0.500 0.500 0.500

## Properties
**M_tot**: 0.000 μB per formula unit
**Energy above the lowest structure with this stoichiometry**: 0 meV/atom
**Volume**: 106 Å³ per cell
**Space-group type**: P4/mmm, No. 123
**E**: -2.926 eV/atom
**Formation energy without anion corrections**: -35.6 meV per atom